# 1
BaRePd2Pt | PBE | optimized geometry

a b c (Å): 4.9653 4.9653 4.9562
angles (deg): 90.00 90.00 90.00
With the nearest neighbours (Å) after each atom.
Positions (direct):
Ba 0.0000 0.0000 0.0000  8 Pd 3.51, 4 Pt 3.51
Re 0.5000 0.5000 0.5000  2 Pt 2.48, 4 Pd 2.48
Pd 0.0000 0.5000 0.5000  2 Re 2.48
Pd 0.5000 0.0000 0.5000  2 Re 2.48
Pt 0.5000 0.5000 0.0000  2 Re 2.48

Crystal system   tetragonal
Electronic total energy   -29.34 eV/f.u.

=====

# 2
Ba6Pd2PtRh | PBE | optimized geometry

a b c (Å): 8.6646 8.6646 8.6646
angles (deg): 54.36 54.36 54.36
With the nearest neighbours (Å) after each atom.
Positions (direct):
Ba 0.0197 0.3197 0.6606  1 Rh 3.14, 1 Pt 3.21, 2 Pd 3.23-3.24
Ba 0.1538 0.8268 0.5233  1 Rh 3.14, 1 Pt 3.19, 2 Pd 3.22
Ba 0.3197 0.6606 0.0197  1 Rh 3.14, 1 Pt 3.21, 2 Pd 3.23-3.24
Ba 0.5233 0.1538 0.8268  1 Rh 3.14, 1 Pt 3.19, 2 Pd 3.22
Ba 0.6606 0.0197 0.3197  1 Rh 3.14, 1 Pt 3.21, 2 Pd 3.23-3.24
Ba 0.8268 0.5233 0.1538  1 Rh 3.14, 1 Pt 3.19, 2 Pd 3.22
Pd 0.2432 0.2432 0.2432  6 Ba 3.22-3.23
Pd 0.7423 0.7423 0.7423  6 Ba 3.22-3.24
Pt 0.4222 0.4222 0.4222  6 Ba 3.19-3.21
Rh 0.9212 0.9212 0.9212  6 Ba 3.14

Crystal system   trigonal
Electronic total energy   -39.36 eV/f.u.

=====

# 3
Ba2PdPtRh | PBE | optimized geometry

a b c (Å): 5.8497 5.8497 4.7517
angles (deg): 90.00 90.00 90.00
With the nearest neighbours (Å) after each atom.
Positions (direct):
Ba 0.0000 0.5000 0.0000  2 Rh 2.92
Ba 0.5000 0.0000 0.0000  2 Rh 2.92
Pd 0.0000 0.0000 0.5000  2 Rh 2.38
Pt 0.5000 0.5000 0.5000  8 Ba 3.77, 4 Pd 4.14
Rh 0.0000 0.0000 0.0000  2 Pd 2.38

Crystal system   tetragonal
Electronic total energy   -21.74 eV/f.u.

=====

# 4
Ba8Pd2PtRh | PBE | optimized geometry

a b c (Å): 7.4832 9.3457 7.6065
angles (deg): 90.00 90.46 90.00
With the nearest neighbours (Å) after each atom.
Positions (direct):
Ba 0.2205 0.2461 0.3276  1 Rh 3.13, 1 Pt 3.18, 1 Pd 3.27
Ba 0.2205 0.7539 0.3276  1 Rh 3.13, 1 Pt 3.18, 1 Pd 3.27
Ba 0.2666 0.0000 0.8185  1 Rh 3.13, 2 Pd 3.21
Ba 0.2731 0.5000 0.8219  1 Pt 3.18, 2 Pd 3.19
Ba 0.7269 0.5000 0.1781  1 Pt 3.18, 2 Pd 3.19
Ba 0.7334 0.0000 0.1815  1 Rh 3.13, 2 Pd 3.21
Ba 0.7795 0.2461 0.6724  1 Rh 3.13, 1 Pt 3.18, 1 Pd 3.27
Ba 0.7795 0.7539 0.6724  1 Rh 3.13, 1 Pt 3.18, 1 Pd 3.27
Pd 0.5000 0.2486 0.0000  6 Ba 3.19-3.27
Pd 0.5000 0.7514 0.0000  6 Ba 3.19-3.27
Pt 0.0000 0.5000 0.5000  6 Ba 3.18
Rh 0.0000 0.0000 0.5000  6 Ba 3.13

Crystal system   monoclinic
Electronic total energy   -44.10 eV/f.u.

=====

Number 1: energy of formation 292 meV/atom. Number 2: energy of formation -404 meV/atom. Number 3: energy of formation 138 meV/atom. Number 4: energy of formation -412 meV/atom.